Entry from the Alexandria database: crystalline ReSbAs at its relaxed geometry (PBE).

Values from the calculation:
The density of states at the Fermi level is 5.96 states/eV per cell. The calculation puts the distance to the lowest polymorph of the same formula at 0 meV/atom.

Lattice parameters (Å, degrees): 6.2311 6.6146 6.6760 90.00 117.99 90.00
With the nearest neighbours (Å) after each atom.
Space group P2_1/c (No. 14)
Asymmetric unit:
Re 0.2180 0.0070 0.4980 x4  3 As 2.52-2.55, 3 Sb 2.71-2.74, 1 Re 2.73
Sb 0.3390 0.6315 0.6776 x4  3 Re 2.71-2.74, 1 As 2.76
As 0.1622 0.1410 0.8233 x4  3 Re 2.52-2.55, 1 Sb 2.76